1.
! PBE LuAgTe3Pb, relaxed; values from VASP
! Distance to the lowest polymorph of the same formula, kJ/mol of atoms: 0.0
! Calculated total energy, eV per atom: -4.11
&SYSTEM
  ibrav = 0, nat = 24, ntyp = 4
/
ATOMIC_SPECIES
Te 127.60 Te.upf
Ag 107.87 Ag.upf
Pb 207.20 Pb.upf
Lu 174.97 Lu.upf
CELL_PARAMETERS angstrom
-9.240 4.665 -10.227
-1.620 -3.997 -0.359
-7.788 2.425 8.143
ATOMIC_POSITIONS crystal
Te 0.395 0.250 0.062
Te 0.105 0.750 0.562
Te 0.152 0.250 0.258
Te 0.880 0.750 0.125
Te 0.620 0.250 0.625
Te 0.652 0.250 0.242
Te 0.848 0.750 0.742
Te 0.380 0.750 0.375
Te 0.895 0.250 0.438
Te 0.120 0.250 0.875
Te 0.348 0.750 0.758
Te 0.605 0.750 0.938
Ag 0.510 0.250 0.412
Ag 0.010 0.250 0.088
Ag 0.990 0.750 0.912
Ag 0.490 0.750 0.588
Pb 0.776 0.250 0.951
Pb 0.276 0.250 0.549
Pb 0.724 0.750 0.451
Pb 0.224 0.750 0.049
Lu 0.486 0.250 0.824
Lu 0.514 0.750 0.176
Lu 0.986 0.250 0.676
Lu 0.014 0.750 0.324

---

2.
! PBE CsSm2CuTe4, relaxed; values from VASP
! Calculated total energy, eV per atom: -4.49
&SYSTEM
  ibrav = 0, nat = 16, ntyp = 4
/
ATOMIC_SPECIES
Te 127.60 Te.upf
Sm 150.36 Sm.upf
Cu 63.55 Cu.upf
Cs 132.91 Cs.upf
CELL_PARAMETERS angstrom
2.248 -7.885 0.000
2.248 7.885 0.000
0.000 0.000 15.672
ATOMIC_POSITIONS crystal
Te 0.238 0.762 0.888
Te 0.500 0.500 0.500
Te 0.762 0.238 0.112
Te 0.074 0.926 0.250
Te 0.238 0.762 0.612
Te 0.500 0.500 0.000
Te 0.762 0.238 0.388
Te 0.926 0.074 0.750
Sm 0.866 0.134 0.562
Sm 0.866 0.134 0.938
Sm 0.134 0.866 0.438
Sm 0.134 0.866 0.062
Cu 0.337 0.663 0.750
Cu 0.663 0.337 0.250
Cs 0.608 0.392 0.750
Cs 0.392 0.608 0.250

---

3.
! PBE DyNbN2, relaxed; values from VASP
! Calculated total energy, eV per atom: -9.04
&SYSTEM
  ibrav = 0, nat = 4, ntyp = 3
/
ATOMIC_SPECIES
N 14.01 N.upf
Dy 162.50 Dy.upf
Nb 92.91 Nb.upf
CELL_PARAMETERS angstrom
3.288 0.000 0.000
0.000 3.288 0.000
0.000 0.000 4.617
ATOMIC_POSITIONS crystal
N 0.000 0.000 0.000
N 0.500 0.500 0.500
Dy 0.000 0.000 0.500
Nb 0.500 0.500 0.000

---

- Which of these has the highest calculated total energy?
  LuAgTe3Pb

---

- Which of these has the lowest calculated total energy?
  DyNbN2

---

- Which of these has the highest calculated total energy?
  LuAgTe3Pb